Cd3InAg4: relaxed, PBE.

## Properties
The total magnetization comes out at 0.00 Bohr magnetons per cell. The relative energy among the computed polymorphs is 81.0 meV/atom. The formation energy is 49.7 meV per atom. For the density, the calculation gives 8.8 Mg/m³.

a b c (Å): 6.4226 6.4226 6.4226
angles (deg): 125.27 79.35 127.41
Positions (direct):
Cd 0.0000 0.0000 0.0000
Cd 0.0538 0.2939 0.7599
Cd 0.5341 0.2939 0.2401
In 0.0469 0.5469 0.5000
Ag 0.0518 0.7952 0.2566
Ag 0.5375 0.2871 0.7495
Ag 0.5375 0.7880 0.2505
Ag 0.5386 0.7952 0.7434